No. 1
Crystalline Ba2YTl at its relaxed geometry. Source: Alexandria, functional PBE.

Structure (CIF):
```
data_Ba2YTl
_cell_length_a 4.072
_cell_length_b 4.072
_cell_length_c 10.396
_cell_angle_alpha 90.00
_cell_angle_beta 90.00
_cell_angle_gamma 90.00
_space_group_name_H-M_alt 'P 1'
_space_group_IT_number 1
_space_group_name_Hall 'P 1'
loop_
_atom_site_label
_atom_site_type_symbol
_atom_site_fract_x
_atom_site_fract_y
_atom_site_fract_z
_atom_site_occupancy
Y1 Y 0.500 0.500 0.684 1
Ba1 Ba 0.500 0.500 0.314 1
Ba2 Ba 0.000 0.000 0.958 1
Tl1 Tl 0.000 0.000 0.544 1
```

ρ	5.47	Mg/m³
ΔH_f (0 K)	-0.117	eV/atom
symmetry	No. 99
final energy	-13.15	eV/f.u.
relative energy among the computed polymorphs	0.00	eV/f.u.



No. 2
Crystalline PrGdO at its relaxed geometry. Source: Alexandria, functional PBE.

Structure (CIF):
```
data_PrGdO
_cell_length_a 3.651
_cell_length_b 3.651
_cell_length_c 6.013
_cell_angle_alpha 90.00
_cell_angle_beta 90.00
_cell_angle_gamma 120.00
_space_group_name_H-M_alt 'P 1'
_space_group_IT_number 1
_space_group_name_Hall 'P 1'
loop_
_atom_site_label
_atom_site_type_symbol
_atom_site_fract_x
_atom_site_fract_y
_atom_site_fract_z
_atom_site_occupancy
Pr1 Pr 0.000 0.000 0.091 1
O1 O 0.667 0.333 0.357 1
Gd1 Gd 0.333 0.667 0.552 1
```

E_form (uncorrected)	-1.732	eV per atom
ρ	7.52	Mg/m³
symmetry	No. 156
final energy	-29.02	eV/f.u.



Question: ρ of number 2 (PrGdO)?
Answer: 7.52 Mg/m³